Entry 1:
A plane-wave DFT calculation with GGA-PBE was carried out for a relaxed structure of LaAgS2.

```
data_LaAgS2
_chemical_formula_sum 'La2 Ag2 S4'
_cell_length_a 7.414
_cell_length_b 4.282
_cell_length_c 6.538
_cell_angle_alpha 90.00
_cell_angle_beta 90.23
_cell_angle_gamma 90.00
_symmetry_space_group_name_H-M 'C 1 m 1'
_symmetry_Int_Tables_number 8
_symmetry_space_group_name_Hall 'C -2y'
loop_
_atom_site_label
_atom_site_type_symbol
_atom_site_fract_x
_atom_site_fract_y
_atom_site_fract_z
La1 La 0.000 0.000 0.000
Ag1 Ag 0.164 0.500 0.597
S1 S 0.167 0.500 0.212
S2 S 0.332 0.000 0.750
```

Computed properties:
* electronic total energy: -43.12 eV/cell
* calculated volume: 25.943 Å³ per atom
* uncorrected formation energy: -1.3821 eV/atom

***

Entry 2:
A plane-wave DFT calculation with GGA-PBE was carried out for a relaxed structure of LaAgS2.

```
data_LaAgS2
_chemical_formula_sum 'La4 Ag4 S8'
_cell_length_a 6.947
_cell_length_b 6.947
_cell_length_c 6.947
_cell_angle_alpha 90.00
_cell_angle_beta 90.00
_cell_angle_gamma 90.00
_symmetry_space_group_name_H-M 'F m -3 m'
_symmetry_Int_Tables_number 225
_symmetry_space_group_name_Hall '-F 4 2 3'
loop_
_atom_site_label
_atom_site_type_symbol
_atom_site_fract_x
_atom_site_fract_y
_atom_site_fract_z
La1 La 0.000 0.000 0.000
Ag1 Ag 0.000 0.000 0.500
S1 S 0.250 0.250 0.250
```

Computed properties:
* electronic total energy: -83.98 eV/cell
* calculated volume: 20.951 Å³ per atom
* uncorrected formation energy: -1.2401 eV/atom

***

Entry 3:
A plane-wave DFT calculation with GGA-PBE was carried out for a relaxed structure of LaAgS2.

```
data_LaAgS2
_chemical_formula_sum 'La4 Ag4 S8'
_cell_length_a 5.558
_cell_length_b 5.558
_cell_length_c 13.404
_cell_angle_alpha 90.00
_cell_angle_beta 90.00
_cell_angle_gamma 90.00
_symmetry_space_group_name_H-M 'I 41/a m d'
_symmetry_Int_Tables_number 141
loop_
_symmetry_equiv_pos_as_xyz
'x,y,z'
'-x,-y,-z'
'-y+1/4,x+3/4,z+1/4'
'y+1/4,-x+3/4,-z+1/4'
'-x+1/2,-y,z+1/2'
'x+1/2,y,-z+1/2'
'y+1/4,-x+1/4,z+3/4'
'-y+1/4,x+1/4,-z+3/4'
'x,-y,-z'
'-x,y,z'
'-y+1/4,-x+1/4,-z+3/4'
'y+1/4,x+1/4,z+3/4'
'-x+1/2,y,-z+1/2'
'x+1/2,-y,z+1/2'
'y+1/4,x+3/4,-z+1/4'
'-y+1/4,-x+3/4,z+1/4'
'x+1/2,y+1/2,z+1/2'
'-x+1/2,-y+1/2,-z+1/2'
'-y+3/4,x+1/4,z+3/4'
'y+3/4,-x+1/4,-z+3/4'
'-x,-y+1/2,z'
'x,y+1/2,-z'
'y+3/4,-x+3/4,z+1/4'
'-y+3/4,x+3/4,-z+1/4'
'x+1/2,-y+1/2,-z+1/2'
'-x+1/2,y+1/2,z+1/2'
'-y+3/4,-x+3/4,-z+1/4'
'y+3/4,x+3/4,z+1/4'
'-x,y+1/2,-z'
'x,-y+1/2,z'
'y+3/4,x+1/4,-z+3/4'
'-y+3/4,-x+1/4,z+3/4'
loop_
_atom_site_label
_atom_site_type_symbol
_atom_site_fract_x
_atom_site_fract_y
_atom_site_fract_z
La1 La 0.000 0.250 0.375
Ag1 Ag 0.000 0.250 0.875
S1 S 0.000 0.250 0.157
```

Computed properties:
* electronic total energy: -85.47 eV/cell
* calculated volume: 25.881 Å³ per atom
* uncorrected formation energy: -1.3333 eV/atom